PuU2C | GGA-PBE | optimized geometry

Cell lengths 2.947, 2.947, 8.090 Å; angles 90.00, 90.00, 90.00 degrees
Positions (direct):
C 0.500 0.500 0.500
U 0.000 0.000 0.676
U 0.000 0.000 0.324
Pu 0.500 0.500 0.000

Calculated values
DFT formation energy ... 0.257 eV/atom
M_tot ... 2.647 μB/cell